(1)
Ba3LiMo (PBE, optimized geometry); E = -3.0312 eV per atom; excess energy over the best structure of this formula in the dataset = 0.0000 eV/atom; magnetic moment = 0.00 μB/f.u.; formation enthalpy at 0 K = 0.671 eV/atom; calculated density = 3.83 g/cm3
1.0
6.0642 0.0000 0.0000
0.0000 6.0642 0.0000
0.0000 0.0000 6.0642
Mo Ba Li
1 3 1
Cartesian
0.0000 0.0000 0.0000
0.0000 3.0321 0.0000
0.0000 0.0000 3.0321
3.0321 0.0000 0.0000
3.0321 3.0321 3.0321

---

(2)
K2CoNi (PBE, optimized geometry); E = -2.6077 eV per atom; excess energy over the best structure of this formula in the dataset = 0.6315 eV/atom; magnetic moment = 1.99 μB/f.u.; formation enthalpy at 0 K = 1.163 eV/atom; calculated density = 3.56 g/cm3
1.0
-3.9349 0.9422 -4.3670
1.1205 -1.9965 -5.4955
0.0424 -2.0349 5.5946
Co K Ni
1 2 1
Cartesian
-0.1221 -2.2793 -2.4161
-2.8022 -1.0497 -9.8198
-1.4194 -0.5317 -4.9739
-2.6498 -0.8099 -1.8518

---

(3)
Ac2NdAl6 (PBE, optimized geometry); E = -4.3397 eV per atom; magnetic moment = 0.00 μB/f.u.; formation enthalpy at 0 K = -0.402 eV/atom; calculated density = 5.27 g/cm3
1.0
-1.9619 -0.7868 -4.0473
4.0130 -6.6355 -0.6553
-7.0023 -0.0066 3.3957
Ac Nd Al
2 1 6
Cartesian
-3.3306 -2.2162 2.0454
-1.6207 -5.2127 -3.3523
-7.0023 -0.0066 3.3957
-1.9667 -2.5836 -1.1200
-2.9846 -4.8453 -0.1869
-5.6744 -0.3978 0.2523
1.7087 -4.8409 -2.4629
0.3423 -2.5814 -2.2397
-3.2899 -0.3956 -0.9039

---

(4)
YMo2Rh (PBE, optimized geometry); E = -8.6679 eV per atom; excess energy over the best structure of this formula in the dataset = 0.2354 eV/atom; magnetic moment = 0.00 μB/f.u.; formation enthalpy at 0 K = 0.202 eV/atom; calculated density = 8.89 g/cm3
1.0
-0.0259 3.8161 3.1765
-2.8007 0.5143 -0.6407
-2.2469 -2.8832 3.4453
Mo Rh Y
2 1 1
Cartesian
-2.3446 -2.8494 3.4039
-2.4261 -1.2182 1.4437
-1.2749 1.3158 2.2894
-3.7987 0.1314 3.6917

---

(5)
LiTbNd2Te4 (PBE, optimized geometry); E = -4.9430 eV per atom; magnetic moment = 0.00 μB/f.u.; formation energy from raw total energies = -1.362 eV per atom; calculated density = 6.57 g/cm3
1.0
4.4013 0.0000 0.0000
0.0000 7.6733 -0.1751
0.0000 2.6781 7.1548
Li Tb Nd Te
1 1 2 4
Cartesian
2.2007 3.8367 -0.0875
0.0000 5.1757 3.4899
0.0000 2.6781 7.1548
2.2007 1.3391 3.5774
0.0001 7.6625 5.3124
4.4013 2.6889 1.6674
2.2007 6.3093 1.6485
2.2007 4.0422 5.3312

---

(6)
NbSb2TeI (PBE, optimized geometry); E = -3.0853 eV per atom; excess energy over the best structure of this formula in the dataset = 1.3615 eV/atom; magnetic moment = 0.16 μB/f.u.; formation energy from raw total energies = 1.516 eV per atom; calculated density = 5.37 g/cm3
1.0
5.7208 0.0000 0.0000
0.0000 5.7208 0.0000
0.0000 0.0000 5.5851
I Sb Nb Te
1 2 1 1
Cartesian
0.0000 0.0000 2.7926
0.0000 2.8604 0.0000
2.8604 0.0000 0.0000
2.8604 2.8604 2.7926
0.0000 0.0000 0.0000

---

(7)
AgAsPb2I (PBE, optimized geometry); E = -3.1686 eV per atom; magnetic moment = 0.00 μB/f.u.; formation energy from raw total energies = 0.125 eV per atom; calculated density = 7.07 g/cm3
1.0
-3.5542 -4.7403 0.1439
2.0644 -1.6707 -4.0463
4.0127 -2.9099 3.2487
Pb I As Ag
2 1 1 1
Cartesian
2.0063 -1.4550 1.6244
-1.7771 -2.3702 0.0720
1.2615 -4.6605 -0.3268
0.0000 0.0000 0.0000
1.0322 -0.8354 -2.0232

---

(8)
PmNd2Te2S2 (PBE, optimized geometry); E = -5.5147 eV per atom; magnetic moment = 0.02 μB/f.u.; formation energy from raw total energies = -1.397 eV per atom; calculated density = 5.76 g/cm3
1.0
-1.9126 3.3684 -3.4694
-2.9378 -3.7729 -2.0436
-3.5028 2.0673 7.8351
Pm Nd Te S
1 2 2 2
Cartesian
0.0000 0.0000 0.0000
-4.5764 1.4398 3.9207
-3.7767 0.2230 -1.5986
-2.2472 0.7070 1.9252
-6.1060 0.9558 0.3969
-1.4689 -1.8864 -1.0218
-0.9563 1.6842 -1.7347

---

Repeat the second record exactly.
K2CoNi (PBE, optimized geometry); E = -2.6077 eV per atom; excess energy over the best structure of this formula in the dataset = 0.6315 eV/atom; magnetic moment = 1.99 μB/f.u.; formation enthalpy at 0 K = 1.163 eV/atom; calculated density = 3.56 g/cm3
1.0
-3.9349 0.9422 -4.3670
1.1205 -1.9965 -5.4955
0.0424 -2.0349 5.5946
Co K Ni
1 2 1
Cartesian
-0.1221 -2.2793 -2.4161
-2.8022 -1.0497 -9.8198
-1.4194 -0.5317 -4.9739
-2.6498 -0.8099 -1.8518

---

Among the records above, which one has the lowest E?
YMo2Rh

---

Look up the E of the second one.
-2.6077 eV per atom